Density functional theory data (GGA-PBE) for a relaxed structure of Ca3GeAu2.

abc: 5.0517 15.1645 7.5608
angles: 90.00 90.00 90.00
Space group Cmmm (No. 65)
Asymmetric unit:
1 Ca 0.0000 0.0000 0.2484
2 Ca 0.0000 0.3324 0.2499
3 Ge 0.0000 0.1671 0.0000
4 Au 0.0000 0.1652 0.5000
5 Au 0.0000 0.5000 0.0000
6 Au 0.0000 0.5000 0.5000

Properties
The total magnetization comes out at 0.0 μB/f.u. Its total DFT energy (no corrections) is -3.562 eV per atom. The value obtained for the formation energy is -0.699 eV per atom.